(1)
Entry from Alexandria: a geometry-optimized CdMoPCl2 structure (PBE).

Computed properties:
As for the uncorrected formation energy: 0.805 eV/atom.

```
data_CdMoPCl2
_cell_length_a 5.0565
_cell_length_b 5.0565
_cell_length_c 5.2257
_cell_angle_alpha 90.00
_cell_angle_beta 90.00
_cell_angle_gamma 90.00
_space_group_name_H-M_alt 'P 4/m m m'
_space_group_IT_number 123
_space_group_name_Hall '-P 4 2'
loop_
_atom_site_label
_atom_site_type_symbol
_atom_site_fract_x
_atom_site_fract_y
_atom_site_fract_z
_atom_site_occupancy
Cd1 Cd 0.0000 0.0000 0.0000 1
Mo1 Mo 0.5000 0.5000 0.5000 1
P1 P 0.0000 0.0000 0.5000 1
Cl1 Cl 0.0000 0.5000 0.0000 1
```

=====

(2)
Entry from Alexandria: a geometry-optimized Cd2MoPdCl structure (PBE).

Computed properties:
As for the uncorrected formation energy: 0.811 eV/atom.

```
data_Cd2MoPdCl
_cell_length_a 5.2855
_cell_length_b 5.2855
_cell_length_c 4.7387
_cell_angle_alpha 90.00
_cell_angle_beta 90.00
_cell_angle_gamma 90.00
_space_group_name_H-M_alt 'P 4/m m m'
_space_group_IT_number 123
_space_group_name_Hall '-P 4 2'
loop_
_atom_site_label
_atom_site_type_symbol
_atom_site_fract_x
_atom_site_fract_y
_atom_site_fract_z
_atom_site_occupancy
Cd1 Cd 0.0000 0.5000 0.0000 1
Mo1 Mo 0.0000 0.0000 0.5000 1
Pd1 Pd 0.5000 0.5000 0.0000 1
Cl1 Cl 0.5000 0.5000 0.5000 1
```

=====

(3)
Entry from Alexandria: a geometry-optimized Cd2MoPdCl structure (PBE).

Computed properties:
As for the uncorrected formation energy: 0.912 eV/atom.

```
data_Cd2MoPdCl
_cell_length_a 5.5384
_cell_length_b 5.5384
_cell_length_c 4.7668
_cell_angle_alpha 90.00
_cell_angle_beta 90.00
_cell_angle_gamma 90.00
_space_group_name_H-M_alt 'P 4/m m m'
_space_group_IT_number 123
_space_group_name_Hall '-P 4 2'
loop_
_atom_site_label
_atom_site_type_symbol
_atom_site_fract_x
_atom_site_fract_y
_atom_site_fract_z
_atom_site_occupancy
Cd1 Cd 0.0000 0.5000 0.0000 1
Mo1 Mo 0.0000 0.0000 0.0000 1
Pd1 Pd 0.0000 0.0000 0.5000 1
Cl1 Cl 0.5000 0.5000 0.5000 1
```

=====

(4)
Entry from Alexandria: a geometry-optimized CdMoS2Cl structure (PBE).

Computed properties:
As for the uncorrected formation energy: 0.810 eV/atom.

```
data_CdMoS2Cl
_cell_length_a 5.0009
_cell_length_b 5.0009
_cell_length_c 4.9750
_cell_angle_alpha 90.00
_cell_angle_beta 90.00
_cell_angle_gamma 90.00
_space_group_name_H-M_alt 'P 4/m m m'
_space_group_IT_number 123
_space_group_name_Hall '-P 4 2'
loop_
_atom_site_label
_atom_site_type_symbol
_atom_site_fract_x
_atom_site_fract_y
_atom_site_fract_z
_atom_site_occupancy
Cd1 Cd 0.0000 0.0000 0.0000 1
Mo1 Mo 0.5000 0.5000 0.5000 1
S1 S 0.0000 0.5000 0.0000 1
Cl1 Cl 0.0000 0.0000 0.5000 1
```

=====

(5)
Entry from Alexandria: a geometry-optimized CdMoSCl2 structure (PBE).

Computed properties:
As for the uncorrected formation energy: 0.468 eV/atom.

```
data_CdMoSCl2
_cell_length_a 4.9989
_cell_length_b 4.9989
_cell_length_c 5.2525
_cell_angle_alpha 90.00
_cell_angle_beta 90.00
_cell_angle_gamma 90.00
_space_group_name_H-M_alt 'P 4/m m m'
_space_group_IT_number 123
_space_group_name_Hall '-P 4 2'
loop_
_atom_site_label
_atom_site_type_symbol
_atom_site_fract_x
_atom_site_fract_y
_atom_site_fract_z
_atom_site_occupancy
Cd1 Cd 0.0000 0.0000 0.0000 1
Mo1 Mo 0.5000 0.5000 0.5000 1
S1 S 0.0000 0.0000 0.5000 1
Cl1 Cl 0.0000 0.5000 0.0000 1
```

=====

(6)
Entry from Alexandria: a geometry-optimized CdMoS2Cl structure (PBE).

Computed properties:
As for the uncorrected formation energy: -0.138 eV/atom.

```
data_CdMoS2Cl
_cell_length_a 4.6858
_cell_length_b 4.6858
_cell_length_c 4.9980
_cell_angle_alpha 90.00
_cell_angle_beta 90.00
_cell_angle_gamma 90.00
_space_group_name_H-M_alt 'P 4/m m m'
_space_group_IT_number 123
_space_group_name_Hall '-P 4 2'
loop_
_atom_site_label
_atom_site_type_symbol
_atom_site_fract_x
_atom_site_fract_y
_atom_site_fract_z
_atom_site_occupancy
Cd1 Cd 0.0000 0.0000 0.0000 1
Mo1 Mo 0.5000 0.5000 0.5000 1
S1 S 0.0000 0.5000 0.5000 1
Cl1 Cl 0.5000 0.5000 0.0000 1
```

=====

(7)
Entry from Alexandria: a geometry-optimized CdMoSCl2 structure (PBE).

Computed properties:
As for the uncorrected formation energy: -0.219 eV/atom.

```
data_CdMoSCl2
_cell_length_a 5.0158
_cell_length_b 5.0158
_cell_length_c 4.6588
_cell_angle_alpha 90.00
_cell_angle_beta 90.00
_cell_angle_gamma 90.00
_space_group_name_H-M_alt 'P 4/m m m'
_space_group_IT_number 123
_space_group_name_Hall '-P 4 2'
loop_
_atom_site_label
_atom_site_type_symbol
_atom_site_fract_x
_atom_site_fract_y
_atom_site_fract_z
_atom_site_occupancy
Cd1 Cd 0.0000 0.0000 0.0000 1
Mo1 Mo 0.5000 0.5000 0.5000 1
S1 S 0.5000 0.5000 0.0000 1
Cl1 Cl 0.0000 0.5000 0.5000 1
```

=====

(8)
Entry from Alexandria: a geometry-optimized TiCdMo2Cl structure (PBE).

Computed properties:
As for the uncorrected formation energy: 1.144 eV/atom.

```
data_TiCdMo2Cl
_cell_length_a 4.4015
_cell_length_b 4.4015
_cell_length_c 5.0848
_cell_angle_alpha 90.00
_cell_angle_beta 90.00
_cell_angle_gamma 90.00
_space_group_name_H-M_alt 'P 4/m m m'
_space_group_IT_number 123
_space_group_name_Hall '-P 4 2'
loop_
_atom_site_label
_atom_site_type_symbol
_atom_site_fract_x
_atom_site_fract_y
_atom_site_fract_z
_atom_site_occupancy
Ti1 Ti 0.0000 0.0000 0.0000 1
Cd1 Cd 0.5000 0.5000 0.0000 1
Mo1 Mo 0.0000 0.5000 0.5000 1
Cl1 Cl 0.5000 0.5000 0.5000 1
```